[1]
# RbZrPd, optimized geometry, DFT PBE-GGA
# Crystal system: cubic
# Energy relative to the lowest polymorph listed for this composition: 0.702 eV/atom
# Total moment: 0.009 μB/atom
# E_tot: -40.14 eV for the cell shown
data_RbZrPd
_chemical_formula_sum 'Rb4 Zr4 Pd4'
_space_group_name_H-M_alt 'F -4 3 m'
_space_group_IT_number 216
_space_group_name_Hall 'F -4 2 3'
_cell_length_a 6.7551
_cell_length_b 6.7551
_cell_length_c 6.7551
_cell_angle_alpha 90.00
_cell_angle_beta 90.00
_cell_angle_gamma 90.00
loop_
_atom_site_label
_atom_site_fract_x
_atom_site_fract_y
_atom_site_fract_z
Rb1 0.0000 0.0000 0.0000
Zr1 0.2500 0.2500 0.2500
Pd1 0.2500 0.2500 0.7500


[2]
# Dy2Er2Tm2LuNi2Te2, optimized geometry, DFT PBE-GGA
# Crystal system: orthorhombic
# Energy relative to the lowest polymorph listed for this composition: 0.000 eV/atom
# Total moment: 0.000 μB/atom
# E_tot: -113.26 eV for the cell shown
data_Dy2Er2Tm2LuNi2Te2
_chemical_formula_sum 'Dy4 Er4 Tm4 Lu2 Ni4 Te4'
_space_group_name_H-M_alt 'I m m 2'
_space_group_IT_number 44
_cell_length_a 3.8161
_cell_length_b 15.4475
_cell_length_c 9.5062
_cell_angle_alpha 90.00
_cell_angle_beta 90.00
_cell_angle_gamma 90.00
loop_
_space_group_symop_operation_xyz
'x,y,z'
'-x,-y,z'
'-x,y,z'
'x,-y,z'
'x+1/2,y+1/2,z+1/2'
'-x+1/2,-y+1/2,z+1/2'
'-x+1/2,y+1/2,z+1/2'
'x+1/2,-y+1/2,z+1/2'
loop_
_atom_site_label
_atom_site_fract_x
_atom_site_fract_y
_atom_site_fract_z
Dy1 0.0000 0.1457 0.0000
Er1 0.0000 0.3659 0.8533
Tm1 0.0000 0.1843 0.6489
Lu1 0.0000 0.5000 0.2711
Ni1 0.0000 0.2633 0.3401
Te1 0.0000 0.0000 0.5059
Te2 0.0000 0.5000 0.6101


[3]
# TmMgCu, optimized geometry, DFT PBE-GGA
# Crystal system: cubic
# Total moment: 0.001 μB/atom
# E_tot: -32.15 eV for the cell shown
data_TmMgCu
_chemical_formula_sum 'Tm4 Mg4 Cu4'
_space_group_name_H-M_alt 'F -4 3 m'
_space_group_IT_number 216
_space_group_name_Hall 'F -4 2 3'
_cell_length_a 6.6987
_cell_length_b 6.6987
_cell_length_c 6.6987
_cell_angle_alpha 90.00
_cell_angle_beta 90.00
_cell_angle_gamma 90.00
loop_
_atom_site_label
_atom_site_fract_x
_atom_site_fract_y
_atom_site_fract_z
Tm1 0.0000 0.0000 0.0000
Mg1 0.2500 0.2500 0.2500
Cu1 0.2500 0.2500 0.7500


[4]
# ThMgBe, optimized geometry, DFT PBE-GGA
# Crystal system: cubic
# Energy relative to the lowest polymorph listed for this composition: 0.541 eV/atom
# Total moment: 0.000 μB/atom
# E_tot: -41.59 eV for the cell shown
data_ThMgBe
_chemical_formula_sum 'Th4 Mg4 Be4'
_space_group_name_H-M_alt 'F -4 3 m'
_space_group_IT_number 216
_space_group_name_Hall 'F -4 2 3'
_cell_length_a 6.6858
_cell_length_b 6.6858
_cell_length_c 6.6858
_cell_angle_alpha 90.00
_cell_angle_beta 90.00
_cell_angle_gamma 90.00
loop_
_atom_site_label
_atom_site_fract_x
_atom_site_fract_y
_atom_site_fract_z
Th1 0.0000 0.0000 0.0000
Mg1 0.2500 0.2500 0.7500
Be1 0.0000 0.0000 0.5000